VASP calculation (PBE) on crystalline Tb2Ho4Er5 at its relaxed geometry.

Cell: 3.620 9.097 10.786 Å, 102.46 99.64 90.02°
Space group P-1 (No. 2)
Inequivalent atoms, fractional coordinates:
1 Tb 0.115 0.006 0.229
2 Ho 0.171 0.417 0.342
3 Ho 0.473 0.797 0.945
4 Er 0.000 0.500 0.000
5 Er 0.251 0.829 0.502
6 Er 0.382 0.304 0.763

For the formation energy, the calculation gives 0.06 eV per atom. The total magnetization is 0.00 μB per cell. For the offset from the most stable computed form, the calculation gives 16 meV per atom.

***

VASP calculation (PBE) on crystalline AlCr2Br at its relaxed geometry.

Cell: 4.832 4.832 3.095 Å, 90.00 90.00 90.00°
Space group P4/mmm (No. 123)
Inequivalent atoms, fractional coordinates:
1 Al 0.000 0.000 0.000
2 Cr 0.000 0.500 0.500
3 Br 0.500 0.500 0.000

The total magnetization is 7.57 μB per cell. For the offset from the most stable computed form, the calculation gives 418 meV per atom.

***

VASP calculation (PBE) on crystalline KAlBi3 at its relaxed geometry.

Cell: 5.630 5.630 5.630 Å, 90.00 90.00 90.00°
Space group Pm-3m (No. 221)
Inequivalent atoms, fractional coordinates:
1 K 0.000 0.000 0.000
2 Al 0.500 0.500 0.500
3 Bi 0.000 0.500 0.500

For the formation energy, the calculation gives 0.16 eV per atom. The total magnetization is 0.00 μB per cell. For the offset from the most stable computed form, the calculation gives 0 meV per atom.

***

VASP calculation (PBE) on crystalline DyScInAu at its relaxed geometry.

Cell: 3.514 3.514 7.449 Å, 90.00 90.00 90.00°
Space group P4mm (No. 99)
Inequivalent atoms, fractional coordinates:
1 Dy 0.000 0.000 0.000
2 Sc 0.000 0.000 0.538
3 In 0.500 0.500 0.285
4 Au 0.500 0.500 0.740

For the formation energy, the calculation gives -0.65 eV per atom. The total magnetization is 0.00 μB per cell. For the offset from the most stable computed form, the calculation gives 0 meV per atom.

***

VASP calculation (PBE) on crystalline Sm5TlSb2 at its relaxed geometry.

Cell: 5.622 9.977 17.679 Å, 90.00 90.00 90.00°
Space group Cmcm (No. 63)
Inequivalent atoms, fractional coordinates:
1 Sm 0.000 0.088 0.078
2 Sm 0.000 0.272 0.750
3 Sm 0.000 0.408 0.099
4 Tl 0.000 0.055 0.250
5 Sb 0.000 0.261 0.573

The total magnetization is 0.00 μB per cell. Its total energy is -152.8 eV for the cell shown.

***

VASP calculation (PBE) on crystalline Ca3LaO at its relaxed geometry.

Cell: 5.201 5.201 5.201 Å, 90.00 90.00 90.00°
Space group Pm-3m (No. 221)
Inequivalent atoms, fractional coordinates:
1 Ca 0.000 0.000 0.500
2 La 0.500 0.500 0.500
3 O 0.000 0.000 0.000

The total magnetization is 0.15 μB per cell. For the offset from the most stable computed form, the calculation gives 0 meV per atom.